Record 1
Below is K2LaPb after structural relaxation, with properties calculated at the PBE level.

Cell: 3.9135 3.9135 12.1409 Å, 90.00 90.00 89.98°
With the nearest neighbours (Å) after each atom.
Fractional coordinates of all 4 atoms:
La 0.0000 0.0000 0.5672  4 Pb 3.40
K 0.5000 0.5000 0.2704  4 K 3.91
K 0.0000 0.0000 0.9327  4 Pb 3.71, 4 K 3.91
Pb 0.5000 0.5000 0.7297  4 La 3.40, 4 K 3.71

Total magnetization   0.00 μB per formula unit
E_tot   -11.185 eV/cell
Formation enthalpy at 0 K   -0.09 eV per atom

=====

Record 2
Below is Te2O3F3 after structural relaxation, with properties calculated at the PBE level.

Cell: 8.3722 8.3722 8.3722 Å, 97.27 97.27 82.73°
With the nearest neighbours (Å) after each atom.
Fractional coordinates of all 32 atoms:
O 0.8374 0.7245 0.9835  2 Te 1.93-1.97
O 0.0165 0.8374 0.2755  2 Te 1.93-1.97
O 0.7245 0.0165 0.1626  2 Te 1.93-1.97
O 0.5195 0.7046 0.7887  1 Te 1.88
O 0.7887 0.4805 0.7046  1 Te 1.88
O 0.2755 0.9835 0.8374  2 Te 1.93-1.97
O 0.1626 0.2755 0.0165  2 Te 1.93-1.97
O 0.9835 0.1626 0.7245  2 Te 1.93-1.97
O 0.2954 0.7887 0.5195  1 Te 1.88
O 0.7046 0.2113 0.4805  1 Te 1.88
O 0.4805 0.2954 0.2113  1 Te 1.88
O 0.2113 0.5195 0.2954  1 Te 1.88
F 0.1941 0.6829 0.0245  1 Te 2.00
F 0.1544 0.4213 0.7441  1 Te 1.91
F 0.8456 0.5787 0.2559  1 Te 1.91
F 0.0245 0.8059 0.6829  1 Te 2.00
F 0.6829 0.9755 0.8059  1 Te 2.00
F 0.4213 0.2559 0.8456  1 Te 1.91
F 0.5787 0.7441 0.1544  1 Te 1.91
F 0.2559 0.1544 0.5787  1 Te 1.91
F 0.8059 0.3171 0.9755  1 Te 2.00
F 0.3171 0.0245 0.1941  1 Te 2.00
F 0.9755 0.1941 0.3171  1 Te 2.00
F 0.7441 0.8456 0.4213  1 Te 1.91
Te 0.2401 0.7323 0.2652  2 O 1.88-1.97, 1 F 2.00
Te 0.2038 0.2038 0.7962  3 F 1.91, 3 O 1.93
Te 0.2652 0.7599 0.7323  2 O 1.88-1.97, 1 F 2.00
Te 0.2677 0.2652 0.2401  2 O 1.88-1.97, 1 F 2.00
Te 0.7348 0.2401 0.2677  2 O 1.88-1.97, 1 F 2.00
Te 0.7599 0.2677 0.7348  2 O 1.88-1.97, 1 F 2.00
Te 0.7962 0.7962 0.2038  3 F 1.91, 3 O 1.93
Te 0.7323 0.7348 0.7599  2 O 1.88-1.97, 1 F 2.00

Total magnetization   0.00 μB per formula unit
ΔE_f (raw)   -1465 meV/atom
E_tot   -153.961 eV/cell

=====

Record 3
Below is Ce3PmTe6 after structural relaxation, with properties calculated at the PBE level.

Cell: 4.4623 13.1702 12.6750 Å, 108.58 90.00 90.00°
With the nearest neighbours (Å) after each atom.
Fractional coordinates of all 20 atoms:
Te 0.2500 0.3814 0.5146  4 Ce 3.12-3.34
Te 0.7500 0.1032 0.9150  3 Ce 3.17-3.18, 2 Pm 3.40
Te 0.7500 0.4660 0.1114  3 Pm 3.25-3.36, 2 Ce 3.33
Te 0.2500 0.2497 0.1897  3 Ce 3.11-3.12, 1 Pm 3.27
Te 0.2500 0.5340 0.8886  3 Pm 3.25-3.36, 2 Ce 3.33
Te 0.2500 0.7176 0.2470  3 Ce 3.19-3.29, 2 Pm 3.35
Te 0.2500 0.8968 0.0850  3 Ce 3.17-3.18, 2 Pm 3.40
Te 0.7500 0.2824 0.7530  3 Ce 3.19-3.29, 2 Pm 3.35
Te 0.7500 0.0635 0.3974  4 Ce 3.13-3.19
Te 0.7500 0.6186 0.4854  4 Ce 3.12-3.34
Te 0.7500 0.7503 0.8103  3 Ce 3.11-3.12, 1 Pm 3.27
Te 0.2500 0.9365 0.6026  4 Ce 3.13-3.19
Pm 0.7500 0.6928 0.0433  8 Te 3.25-3.40
Pm 0.2500 0.3072 0.9567  8 Te 3.25-3.40
Ce 0.7500 0.0780 0.1553  6 Te 3.11-3.18
Ce 0.7500 0.8310 0.4254  6 Te 3.12-3.19
Ce 0.2500 0.9220 0.8447  6 Te 3.11-3.18
Ce 0.7500 0.5040 0.6855  7 Te 3.12-3.34
Ce 0.2500 0.1690 0.5746  6 Te 3.12-3.19
Ce 0.2500 0.4960 0.3145  7 Te 3.12-3.34

Total magnetization   0.92 μB per formula unit
ΔE_f (raw)   -1340 meV/atom
E_tot   -109.599 eV/cell

=====

Record 4
Below is U2Ga8Co after structural relaxation, with properties calculated at the PBE level.

Cell: 4.2446 4.2446 11.0258 Å, 90.00 90.00 90.00°
With the nearest neighbours (Å) after each atom.
Fractional coordinates of all 11 atoms:
Ga 0.5000 0.0000 0.1179  2 Co 2.49, 1 Ga 2.60
Ga 0.0000 0.5000 0.1179  2 Co 2.49, 1 Ga 2.60
Ga 0.5000 0.0000 0.8821  2 Co 2.49, 1 Ga 2.60
Ga 0.0000 0.5000 0.8821  2 Co 2.49, 1 Ga 2.60
Ga 0.5000 0.0000 0.5000  8 Ga 3.00-3.02, 4 U 3.01
Ga 0.0000 0.5000 0.5000  8 Ga 3.00-3.02, 4 U 3.01
Ga 0.5000 0.5000 0.6943  8 Ga 2.97-3.02, 4 U 3.00
Ga 0.5000 0.5000 0.3057  8 Ga 2.97-3.02, 4 U 3.00
Co 0.0000 0.0000 0.0000  8 Ga 2.49
U 0.0000 0.0000 0.3060  12 Ga 2.97-3.01
U 0.0000 0.0000 0.6940  12 Ga 2.97-3.01

Total magnetization   3.83 μB per formula unit
E_tot   -57.091 eV/cell
Formation enthalpy at 0 K   -0.29 eV per atom

=====

Record 5
Below is Y2NiCl after structural relaxation, with properties calculated at the PBE level.

Cell: 3.8894 3.8894 7.6130 Å, 75.14 75.14 60.00°
With the nearest neighbours (Å) after each atom.
Fractional coordinates of all 4 atoms:
Y 0.5143 0.5143 0.4558  3 Ni 2.70
Y 0.9857 0.9857 0.0442  3 Ni 2.70
Cl 0.7500 0.7500 0.7500  6 Y 3.10-3.11
Ni 0.2500 0.2500 0.2500  6 Y 2.70

Total magnetization   0.00 μB per formula unit
ΔE_f (raw)   -911 meV/atom
E_tot   -24.199 eV/cell

=====

Record 6
Below is BeNb2PdAu after structural relaxation, with properties calculated at the PBE level.

Cell: 4.9283 4.9283 4.9090 Å, 90.00 90.00 90.00°
With the nearest neighbours (Å) after each atom.
Fractional coordinates of all 5 atoms:
Nb 0.5000 0.0000 0.0000  2 Au 2.46
Nb 0.0000 0.5000 0.0000  2 Au 2.46
Au 0.0000 0.0000 0.0000  2 Pd 2.45, 4 Nb 2.46
Pd 0.0000 0.0000 0.5000  2 Au 2.45
Be 0.5000 0.5000 0.5000  8 Nb 3.48, 4 Pd 3.48

Total magnetization   0.00 μB per formula unit
E_tot   -23.815 eV/cell
Formation enthalpy at 0 K   1.70 eV per atom

=====

Record 7
Below is KLaMo after structural relaxation, with properties calculated at the PBE level.

Cell: 5.6993 5.6993 2.8226 Å, 90.00 90.00 120.00°
With the nearest neighbours (Å) after each atom.
Fractional coordinates of all 3 atoms:
K 0.0000 0.0000 0.1668  2 K 2.82
La 0.6667 0.3333 0.1663  2 La 2.82
Mo 0.3333 0.6667 0.6669  2 Mo 2.82

Total magnetization   0.07 μB per formula unit
E_tot   -13.327 eV/cell
Formation enthalpy at 0 K   1.18 eV per atom